VASP calculation (GGA+U) on a relaxed KLiNd2Mo4O16 crystal.

POSCAR file:
```
KLiNd2Mo4O16
1.0
2.704 -6.528 0.000
2.704 6.528 0.000
-1.477 0.000 19.940
K Li Nd Mo O
2 2 4 8 32
Cartesian
1.596 6.090 14.955
2.335 -6.090 4.985
1.596 2.464 14.955
2.335 -2.464 4.985
1.273 4.613 19.277
1.919 4.613 10.633
2.012 -4.613 9.307
2.658 -4.613 0.663
2.081 3.220 7.015
2.588 3.220 2.955
1.242 0.814 18.099
1.950 0.814 11.811
1.981 -0.814 8.129
2.689 -0.814 1.841
1.342 -3.220 16.985
1.850 -3.220 12.925
1.854 4.766 3.398
1.006 2.709 5.705
1.115 3.404 8.609
1.234 2.049 2.663
0.445 2.171 19.095
0.528 0.261 10.771
0.884 0.589 7.953
2.815 4.766 6.572
1.266 -0.261 0.801
1.233 1.232 13.368
0.146 -0.589 17.923
3.555 3.404 1.361
0.495 -2.049 12.633
0.267 -2.709 15.675
2.747 2.171 10.815
1.960 1.232 16.542
1.971 -1.232 3.398
1.184 -2.171 9.125
3.664 2.709 4.265
3.435 2.049 7.307
0.376 -3.404 18.579
3.785 0.589 2.017
2.698 -1.232 6.572
2.665 0.261 19.139
1.116 -4.766 13.368
3.047 -0.589 11.987
3.403 -0.261 9.169
3.486 -2.171 0.845
2.697 -2.049 17.277
2.816 -3.404 11.331
2.925 -2.709 14.235
2.077 -4.766 16.542
```

Calculated total energy   -7.1554 eV/atom
Theoretical density   4.597 Mg/m³